Density functional theory data (PBE) for a relaxed Pm2YU2Ru5 crystal.

Geometry as POSCAR:
```
Pm2YU2Ru5
1.0
10.822 0.000 0.000
0.000 10.822 0.000
0.000 0.000 3.557
Pm Y U Ru
4 2 4 10
Direct
0.176 0.324 0.000
0.324 0.824 0.000
0.676 0.176 0.000
0.824 0.676 0.000
0.000 0.000 0.000
0.500 0.500 0.000
0.135 0.635 0.000
0.365 0.135 0.000
0.635 0.865 0.000
0.865 0.365 0.000
0.000 0.500 0.500
0.050 0.783 0.500
0.217 0.050 0.500
0.283 0.550 0.500
0.450 0.283 0.500
0.500 0.000 0.500
0.550 0.717 0.500
0.717 0.450 0.500
0.783 0.950 0.500
0.950 0.217 0.500
```

Computed properties:
Symmetry: P4/mbm
Total DFT energy (no corrections) in eV per atom: -8.73
ρ in Mg/m³: 10.8
Volume in Å³/atom: 20.83